DFT (GGA-PBE) results for crystalline TbAlCr2S6 at its relaxed geometry.

## Properties
Its formation energy (no corrections) is -1.04 eV/atom.

Cell: 6.6760 6.6760 6.6760 Å, 56.08 56.08 56.08°
Last column: nearest neighbours and their distance in Å.
Element x y z (fractional)
Tb1 0.0000 0.0000 0.0000  6 S 2.67-2.76
Al1 0.5101 0.5101 0.5101  6 S 2.42-2.43
Cr1 0.2002 0.2002 0.2002  6 S 2.37-2.49
Cr2 0.7054 0.7054 0.7054  6 S 2.43-2.49
S1 0.1027 0.4377 0.7978  2 Cr 2.43-2.49, 1 Al 2.43
S2 0.3401 0.9158 0.5578  2 Cr 2.37-2.49, 1 Al 2.42
S3 0.4377 0.7978 0.1027  2 Cr 2.43-2.49, 1 Al 2.43
S4 0.5578 0.3401 0.9158  2 Cr 2.37-2.49, 1 Al 2.42
S5 0.7978 0.1027 0.4377  2 Cr 2.43-2.49, 1 Al 2.43
S6 0.9158 0.5578 0.3401  2 Cr 2.37-2.49, 1 Al 2.42